{"formula": "Be3Tl2Cd2F12", "functional": "meta-GGA SCAN", "state": "single point on PBEsol structure", "raw_formation_energy_mev_per_atom": -2795, "space_group": "No. 198", "cell": [[10.390, 0.000, 0.000], [0.000, 10.390, 0.000], [0.000, 0.000, 10.390]], "species": ["Be", "Be", "Be", "Be", "Be", "Be", "Be", "Be", "Be", "Be", "Be", "Be", "Tl", "Tl", "Tl", "Tl", "Tl", "Tl", "Tl", "Tl", "Cd", "Cd", "Cd", "Cd", "Cd", "Cd", "Cd", "Cd", "F", "F", "F", "F", "F", "F", "F", "F", "F", "F", "F", "F", "F", "F", "F", "F", "F", "F", "F", "F", "F", "F", "F", "F", "F", "F", "F", "F", "F", "F", "F", "F", "F", "F", "F", "F", "F", "F", "F", "F", "F", "F", "F", "F", "F", "F", "F", "F"], "frac_coords": [[0.010, 0.226, 0.374], [0.126, 0.990, 0.726], [0.226, 0.374, 0.010], [0.274, 0.626, 0.510], [0.374, 0.010, 0.226], [0.490, 0.774, 0.874], [0.510, 0.274, 0.626], [0.626, 0.510, 0.274], [0.726, 0.126, 0.990], [0.774, 0.874, 0.490], [0.874, 0.490, 0.774], [0.990, 0.726, 0.126], [0.046, 0.046, 0.046], [0.192, 0.308, 0.692], [0.308, 0.692, 0.192], [0.454, 0.954, 0.546], [0.546, 0.454, 0.954], [0.692, 0.192, 0.308], [0.808, 0.808, 0.808], [0.954, 0.546, 0.454], [0.085, 0.915, 0.415], [0.174, 0.674, 0.826], [0.326, 0.326, 0.326], [0.415, 0.085, 0.915], [0.585, 0.585, 0.585], [0.674, 0.826, 0.174], [0.826, 0.174, 0.674], [0.915, 0.415, 0.085], [0.014, 0.089, 0.312], [0.015, 0.090, 0.728], [0.038, 0.827, 0.225], [0.076, 0.854, 0.763], [0.089, 0.312, 0.014], [0.090, 0.728, 0.015], [0.146, 0.263, 0.424], [0.173, 0.725, 0.462], [0.188, 0.986, 0.589], [0.225, 0.038, 0.827], [0.228, 0.485, 0.910], [0.237, 0.576, 0.646], [0.263, 0.424, 0.146], [0.272, 0.515, 0.410], [0.275, 0.962, 0.327], [0.312, 0.014, 0.089], [0.327, 0.275, 0.962], [0.354, 0.737, 0.924], [0.410, 0.272, 0.515], [0.411, 0.688, 0.514], [0.424, 0.146, 0.263], [0.462, 0.173, 0.725], [0.485, 0.910, 0.228], [0.486, 0.911, 0.812], [0.514, 0.411, 0.688], [0.515, 0.410, 0.272], [0.538, 0.673, 0.775], [0.576, 0.646, 0.237], [0.589, 0.188, 0.986], [0.590, 0.772, 0.985], [0.646, 0.237, 0.576], [0.673, 0.775, 0.538], [0.688, 0.514, 0.411], [0.725, 0.462, 0.173], [0.728, 0.015, 0.090], [0.737, 0.924, 0.354], [0.763, 0.076, 0.854], [0.772, 0.985, 0.590], [0.775, 0.538, 0.673], [0.812, 0.486, 0.911], [0.827, 0.225, 0.038], [0.854, 0.763, 0.076], [0.910, 0.228, 0.485], [0.911, 0.812, 0.486], [0.924, 0.354, 0.737], [0.962, 0.327, 0.275], [0.985, 0.590, 0.772], [0.986, 0.589, 0.188]]}

---

{"formula": "BeCd3Fe", "functional": "meta-GGA SCAN", "state": "single point on PBEsol structure", "ef_mev_per_atom": 686, "space_group": "No. 221", "cell": [[4.508, 0.000, 0.000], [0.000, 4.508, 0.000], [0.000, 0.000, 4.508]], "species": ["Be", "Cd", "Cd", "Cd", "Fe"], "frac_coords": [[0.000, 0.000, 0.000], [0.000, 0.000, 0.500], [0.000, 0.500, 0.000], [0.500, 0.000, 0.000], [0.500, 0.500, 0.500]]}

---

{"formula": "BeCdFe2", "functional": "meta-GGA SCAN", "state": "single point on PBEsol structure", "ef_mev_per_atom": 219, "space_group": "No. 216", "e_above_lowest_polymorph_ev_per_atom": 0.123, "cell": [[0.000, 2.906, 2.906], [2.906, 0.000, 2.906], [2.906, 2.906, 0.000]], "species": ["Be", "Cd", "Fe", "Fe"], "frac_coords": [[0.000, 0.000, 0.000], [0.750, 0.750, 0.750], [0.250, 0.250, 0.250], [0.500, 0.500, 0.500]]}

---

{"formula": "BeCdFe4", "functional": "meta-GGA SCAN", "state": "single point on PBEsol structure", "ef_mev_per_atom": 341, "space_group": "No. 216", "cell": [[0.000, 3.311, 3.311], [3.311, 0.000, 3.311], [3.311, 3.311, 0.000]], "species": ["Be", "Cd", "Fe", "Fe", "Fe", "Fe"], "frac_coords": [[0.000, 0.000, 0.000], [0.750, 0.750, 0.750], [0.374, 0.374, 0.374], [0.374, 0.374, 0.877], [0.374, 0.877, 0.374], [0.877, 0.374, 0.374]]}

---

{"formula": "Be2CdFe", "functional": "meta-GGA SCAN", "state": "single point on PBEsol structure", "ef_mev_per_atom": 287, "space_group": "No. 119", "cell": [[-1.694, 1.694, 4.005], [1.694, -1.694, 4.005], [1.694, 1.694, -4.005]], "species": ["Be", "Be", "Cd", "Fe"], "frac_coords": [[0.000, 0.000, 0.000], [0.750, 0.250, 0.500], [0.500, 0.500, 0.000], [0.250, 0.750, 0.500]]}

---

{"formula": "BeCdFe2", "functional": "meta-GGA SCAN", "state": "single point on PBEsol structure", "ef_mev_per_atom": 131, "space_group": "No. 99", "e_above_lowest_polymorph_ev_per_atom": 0.035, "cell": [[2.833, 0.000, 0.000], [0.000, 2.833, 0.000], [0.000, 0.000, 6.064]], "species": ["Be", "Cd", "Fe", "Fe"], "frac_coords": [[0.000, 0.000, 0.000], [0.500, 0.500, 0.294], [0.000, 0.000, 0.612], [0.500, 0.500, 0.815]]}

---

Number 1: VASP energy -314.19 eV/f.u.. Number 2: VASP energy -110.30 eV/f.u.. Number 3: VASP energy -70.15 eV/f.u.. Number 4: VASP energy -105.24 eV/f.u.. Number 5: VASP energy -56.10 eV/f.u.. Number 6: VASP energy -70.50 eV/f.u..